# 1
A plane-wave DFT calculation with PBE was carried out for Er2Zn2SnRh5 after structural relaxation.

Properties
As for the magnetization: 0.000 μB/atom.

Lattice parameters (Å, degrees): 9.6700 9.6700 3.6469 90.00 90.00 90.00
Closest atoms and distances in Å follow each position.
Space group P4/mbm (No. 127)
Symmetry-distinct sites (fractional):
Er 0.1732 0.3268 0.0000  3 Zn 2.77-2.92, 2 Rh 2.99
Zn 0.1244 0.6244 0.0000  6 Rh 2.49-2.52, 1 Er 2.77
Sn 0.0000 0.0000 0.0000  8 Rh 2.77
Rh 0.0000 0.5000 0.5000  4 Zn 2.49
Rh 0.0690 0.7951 0.5000  2 Zn 2.52, 2 Sn 2.77

---

# 2
A plane-wave DFT calculation with PBE was carried out for SrEr2Rh9 after structural relaxation.

Properties
As for the magnetization: 0.000 μB/atom.

Lattice parameters (Å, degrees): 5.3072 5.3072 26.1326 90.00 90.00 120.00
Closest atoms and distances in Å follow each position.
Space group R-3m (No. 166, hexagonal axes)
Symmetry-distinct sites (fractional):
Sr 0.0000 0.0000 0.0000  6 Rh 3.06
Er 0.0000 0.0000 0.1391  12 Rh 3.02-3.26
Rh 0.0000 0.0000 0.3330  6 Rh 2.67-2.68
Rh 0.0000 0.0000 0.5000  6 Rh 2.65
Rh 0.0012 0.5006 0.9161  7 Rh 2.64-2.68

---

# 3
A plane-wave DFT calculation with PBE was carried out for SrErRh2 after structural relaxation.

Properties
As for the magnetization: 0.000 μB/atom. The offset from the most stable computed form is 0.1096 eV/atom.

Lattice parameters (Å, degrees): 6.9728 6.9728 6.9728 90.00 90.00 90.00
Closest atoms and distances in Å follow each position.
Space group Fm-3m (No. 225)
Symmetry-distinct sites (fractional):
Sr 0.0000 0.0000 0.0000  8 Rh 3.02
Er 0.0000 0.0000 0.5000  8 Rh 3.02
Rh 0.2500 0.2500 0.2500  4 Sr 3.02, 4 Er 3.02

---

# 4
A plane-wave DFT calculation with PBE was carried out for SrEr2Rh after structural relaxation.

Properties
As for the magnetization: 0.000 μB/atom. The offset from the most stable computed form is 0.0952 eV/atom.

Lattice parameters (Å, degrees): 3.9607 3.9607 32.0528 90.00 90.00 120.00
Closest atoms and distances in Å follow each position.
Space group R-3m (No. 166, hexagonal axes)
Symmetry-distinct sites (fractional):
Sr 0.0000 0.0000 0.0000  2 Er 3.87, 6 Sr 3.96
Er 0.0000 0.0000 0.1208  3 Rh 2.72
Rh 0.0000 0.0000 0.5000  6 Er 2.72

---

Final energy? In order: -5.919 -6.868 -5.681 -4.808 eV/atom.
Formation enthalpy at 0 K? In order: -0.68 -0.45 -0.44 -0.27 eV/atom.
Volume? In order: 341.0 637.4 339.0 435.5 Å³ per cell.